Entry 1:
An optimized crystal structure of ZrSb. Source: the Alexandria database, functional PBE.

Output
E_form (uncorrected) = -0.3295 eV/atom
volume = 24.502 Å³/atom
Fermi-level density of states = 0.8595 states/eV/atom

Cell lengths 6.543, 6.543, 7.339 Å; angles 72.02, 72.02, 29.58 degrees
Atoms (fractional coordinates):
Zr1 0.004 0.004 0.992
Zr2 0.926 0.926 0.579
Zr3 0.279 0.279 0.970
Sb1 0.344 0.344 0.311
Sb2 0.677 0.677 0.715
Sb3 0.603 0.603 0.266

=====

Entry 2:
An optimized crystal structure of ZrSb. Source: the Alexandria database, functional PBE.

Output
E_form (uncorrected) = -0.3460 eV/atom
volume = 28.365 Å³/atom
Fermi-level density of states = 0.5173 states/eV/atom

Cell lengths 8.273, 8.273, 5.743 Å; angles 90.00, 90.00, 120.00 degrees
Atoms (fractional coordinates):
Zr1 0.607 0.919 0.250
Zr2 0.688 0.607 0.750
Zr3 0.081 0.688 0.250
Zr4 0.393 0.081 0.750
Zr5 0.312 0.393 0.250
Zr6 0.919 0.312 0.750
Sb1 0.914 0.290 0.250
Sb2 0.624 0.914 0.750
Sb3 0.710 0.624 0.250
Sb4 0.086 0.710 0.750
Sb5 0.376 0.086 0.250
Sb6 0.290 0.376 0.750

=====

Entry 3:
An optimized crystal structure of ZrSb3. Source: the Alexandria database, functional PBE.

Output
E_form (uncorrected) = 0.2477 eV/atom
excess energy over the best structure of this formula in the dataset = 52.23 kJ per mole of atoms
volume = 43.062 Å³/atom
Fermi-level density of states = 0.6387 states/eV/atom

Cell lengths 5.564, 5.564, 5.564 Å; angles 90.00, 90.00, 90.00 degrees
Atoms (fractional coordinates):
Sb1 0.500 0.000 0.000
Sb2 0.000 0.500 0.000
Sb3 0.000 0.000 0.500
Zr1 0.000 0.000 0.000

=====

Entry 4:
An optimized crystal structure of ZrSb3. Source: the Alexandria database, functional PBE.

Output
E_form (uncorrected) = -0.1245 eV/atom
excess energy over the best structure of this formula in the dataset = 16.32 kJ per mole of atoms
volume = 25.147 Å³/atom
Fermi-level density of states = 0.7080 states/eV/atom

Cell lengths 5.271, 6.154, 6.202 Å; angles 90.00, 90.00, 90.00 degrees
Atoms (fractional coordinates):
Zr1 0.000 0.708 0.000
Zr2 0.500 0.292 0.500
Sb1 0.500 0.384 0.000
Sb2 0.000 0.616 0.500
Sb3 0.000 0.154 0.255
Sb4 0.000 0.154 0.745
Sb5 0.500 0.846 0.755
Sb6 0.500 0.846 0.245

=====

Entry 5:
An optimized crystal structure of ZrSb3. Source: the Alexandria database, functional PBE.

Output
E_form (uncorrected) = -0.0006 eV/atom
excess energy over the best structure of this formula in the dataset = 28.28 kJ per mole of atoms
volume = 25.392 Å³/atom
Fermi-level density of states = 0.5298 states/eV/atom

Cell lengths 6.449, 6.449, 11.279 Å; angles 90.00, 90.00, 120.00 degrees
Atoms (fractional coordinates):
Sb1 0.500 0.000 0.000
Sb2 0.500 0.000 0.500
Sb3 0.000 0.500 0.000
Sb4 0.500 0.500 0.000
Sb5 0.500 0.500 0.500
Sb6 0.000 0.500 0.500
Sb7 0.841 0.682 0.250
Sb8 0.159 0.318 0.750
Sb9 0.318 0.159 0.250
Sb10 0.841 0.159 0.250
Sb11 0.159 0.841 0.750
Sb12 0.682 0.841 0.750
Zr1 0.000 0.000 0.000
Zr2 0.000 0.000 0.500
Zr3 0.333 0.667 0.250
Zr4 0.667 0.333 0.750

=====

Entry 6:
An optimized crystal structure of ZrSb2. Source: the Alexandria database, functional PBE.

Output
E_form (uncorrected) = -0.0848 eV/atom
volume = 30.283 Å³/atom
Fermi-level density of states = 0.2152 states/eV/atom

Cell lengths 7.136, 7.136, 7.136 Å; angles 90.00, 90.00, 90.00 degrees
Atoms (fractional coordinates):
Sb1 0.617 0.617 0.383
Sb2 0.383 0.383 0.617
Sb3 0.117 0.883 0.617
Sb4 0.883 0.117 0.383
Sb5 0.383 0.117 0.117
Sb6 0.617 0.883 0.883
Sb7 0.883 0.383 0.883
Sb8 0.117 0.617 0.117
Zr1 0.000 0.000 0.000
Zr2 0.500 0.500 0.000
Zr3 0.500 0.000 0.500
Zr4 0.000 0.500 0.500

=====

Entry 7:
An optimized crystal structure of Zr8Sb. Source: the Alexandria database, functional PBE.

Output
E_form (uncorrected) = -0.1801 eV/atom
volume = 22.846 Å³/atom
Fermi-level density of states = 0.8335 states/eV/atom

Cell lengths 7.220, 7.220, 7.220 Å; angles 95.17, 95.17, 145.06 degrees
Atoms (fractional coordinates):
Sb1 0.000 0.000 0.000
Zr1 0.335 0.665 0.000
Zr2 0.665 0.335 0.000
Zr3 0.000 0.332 0.332
Zr4 0.665 0.665 0.330
Zr5 0.332 0.000 0.332
Zr6 0.335 0.335 0.670
Zr7 0.000 0.668 0.668
Zr8 0.668 0.000 0.668

=====

Entry 8:
An optimized crystal structure of ZrSb2. Source: the Alexandria database, functional PBE.

Output
E_form (uncorrected) = -0.3150 eV/atom
volume = 27.576 Å³/atom
Fermi-level density of states = 0.7202 states/eV/atom

Cell lengths 8.632, 8.632, 8.632 Å; angles 158.98, 158.98, 29.90 degrees
Atoms (fractional coordinates):
Sb1 0.364 0.364 0.000
Sb2 0.636 0.636 0.000
Zr1 0.000 0.000 0.000

=====

Entry 9:
An optimized crystal structure of ZrSb. Source: the Alexandria database, functional PBE.

Output
E_form (uncorrected) = -0.4729 eV/atom
volume = 24.508 Å³/atom
Fermi-level density of states = 0.6303 states/eV/atom

Cell lengths 4.185, 4.185, 11.579 Å; angles 100.41, 100.41, 90.00 degrees
Atoms (fractional coordinates):
Zr1 0.573 0.073 0.145
Zr2 0.823 0.823 0.645
Zr3 0.177 0.177 0.355
Zr4 0.927 0.427 0.855
Sb1 0.438 0.938 0.877
Sb2 0.688 0.688 0.377
Sb3 0.312 0.312 0.623
Sb4 0.062 0.562 0.123

=====

Entry 10:
An optimized crystal structure of ZrSb. Source: the Alexandria database, functional PBE.

Output
E_form (uncorrected) = -0.7145 eV/atom
volume = 22.974 Å³/atom
Fermi-level density of states = 0.4488 states/eV/atom

Cell lengths 5.686, 5.686, 5.686 Å; angles 90.00, 90.00, 90.00 degrees
Atoms (fractional coordinates):
Zr1 0.357 0.857 0.643
Zr2 0.643 0.357 0.857
Zr3 0.857 0.643 0.357
Zr4 0.143 0.143 0.143
Sb1 0.343 0.657 0.157
Sb2 0.843 0.843 0.843
Sb3 0.657 0.157 0.343
Sb4 0.157 0.343 0.657

=====

Entry 11:
An optimized crystal structure of ZrSb3. Source: the Alexandria database, functional PBE.

Output
E_form (uncorrected) = -0.1319 eV/atom
excess energy over the best structure of this formula in the dataset = 15.61 kJ per mole of atoms
volume = 24.840 Å³/atom
Fermi-level density of states = 0.8456 states/eV/atom

Cell lengths 5.836, 5.836, 5.836 Å; angles 90.00, 90.00, 90.00 degrees
Atoms (fractional coordinates):
Zr1 0.000 0.000 0.000
Zr2 0.500 0.500 0.500
Sb1 0.750 0.500 0.000
Sb2 0.250 0.500 0.000
Sb3 0.000 0.750 0.500
Sb4 0.000 0.250 0.500
Sb5 0.500 0.000 0.250
Sb6 0.500 0.000 0.750

=====

Entry 12:
An optimized crystal structure of ZrSb. Source: the Alexandria database, functional PBE.

Output
E_form (uncorrected) = -0.2370 eV/atom
volume = 26.379 Å³/atom
Fermi-level density of states = 0.9729 states/eV/atom

Cell lengths 3.161, 7.488, 13.375 Å; angles 90.00, 90.00, 90.00 degrees
Atoms (fractional coordinates):
Zr1 0.000 0.981 0.622
Zr2 0.500 0.019 0.878
Zr3 0.500 0.019 0.122
Zr4 0.000 0.981 0.378
Zr5 0.000 0.692 0.000
Zr6 0.500 0.308 0.500
Sb1 0.000 0.716 0.781
Sb2 0.500 0.284 0.719
Sb3 0.500 0.284 0.281
Sb4 0.000 0.716 0.219
Sb5 0.000 0.650 0.500
Sb6 0.500 0.350 0.000